a:
Ca2DyZn | PBE | relaxed

Lattice parameters (Å, degrees): 3.6003 3.6003 34.6618 90.00 90.00 120.00
Space group R-3m (No. 166, hexagonal axes)
Symmetry-distinct sites (fractional):
Ca 0.0000 0.0000 0.1002 (multiplicity 6)
Dy 0.0000 0.0000 0.0000 (multiplicity 3)
Zn 0.0000 0.0000 0.5000 (multiplicity 3)



b:
Ca2DyZn | PBE | relaxed

Lattice parameters (Å, degrees): 3.585 3.585 9.503 90.00 90.00 90.00
Space group P4/mmm (No. 123)
Symmetry-distinct sites (fractional):
Ca 0.000 0.000 0.200 (multiplicity 2)
Dy 0.500 0.500 0.500 (multiplicity 1)
Zn 0.500 0.500 0.000 (multiplicity 1)



Least stable of them? a.



a:
CaDyZn4 | PBE | relaxed

Lattice parameters (Å, degrees): 7.772 7.772 7.772 90.00 90.00 90.00
Space group F-43m (No. 216)
Symmetry-distinct sites (fractional):
Ca 0.000 0.000 0.000 (multiplicity 4)
Dy 0.250 0.250 0.250 (multiplicity 4)
Zn 0.124 0.124 0.624 (multiplicity 16)



b:
CaDyZn4 | PBE | relaxed

Lattice parameters (Å, degrees): 4.151 4.151 15.263 90.00 90.00 90.00
Space group I-4m2 (No. 119)
Symmetry-distinct sites (fractional):
Ca 0.000 0.000 0.000 (multiplicity 2)
Dy 0.000 0.500 0.250 (multiplicity 2)
Zn 0.000 0.000 0.417 (multiplicity 4)
Zn 0.000 0.500 0.669 (multiplicity 4)



Least stable of them? b.



a:
CaDyZn | PBE | relaxed

Lattice parameters (Å, degrees): 4.803 4.803 7.668 90.00 90.00 90.00
Space group P4/nmm (No. 129, origin choice 2)
Symmetry-distinct sites (fractional):
Ca 0.250 0.250 0.135 (multiplicity 2)
Dy 0.250 0.750 0.500 (multiplicity 2)
Zn 0.250 0.250 0.732 (multiplicity 2)



b:
CaDyZn | PBE | relaxed

Lattice parameters (Å, degrees): 3.621 3.621 12.853 90.00 90.00 90.00
Space group I4mm (No. 107)
Symmetry-distinct sites (fractional):
Ca 0.000 0.000 0.000 (multiplicity 2)
Dy 0.000 0.000 0.275 (multiplicity 2)
Zn 0.000 0.000 0.651 (multiplicity 2)



Least stable of them? a.



a:
Ca3Er | PBE | relaxed

Lattice parameters (Å, degrees): 3.523 3.691 12.001 90.00 90.00 90.00
Space group Pmm2 (No. 25)
Symmetry-distinct sites (fractional):
Ca 0.000 0.000 0.000 (multiplicity 1)
Ca 0.000 0.500 0.275 (multiplicity 1)
Ca 0.500 0.500 0.752 (multiplicity 1)
Er 0.500 0.000 0.498 (multiplicity 1)



b:
Ca3Er | PBE | relaxed

Lattice parameters (Å, degrees): 8.436 8.436 8.436 90.00 90.00 90.00
Space group Fm-3m (No. 225)
Symmetry-distinct sites (fractional):
Ca 0.000 0.000 0.000 (multiplicity 4)
Ca 0.250 0.250 0.250 (multiplicity 8)
Er 0.000 0.000 0.500 (multiplicity 4)



Least stable of them? a.



a:
Ca3Er | PBE | relaxed

Lattice parameters (Å, degrees): 5.371 5.371 5.371 90.00 90.00 90.00
Space group Pm-3m (No. 221)
Symmetry-distinct sites (fractional):
Ca 0.000 0.000 0.500 (multiplicity 3)
Er 0.500 0.500 0.500 (multiplicity 1)



b:
Ca3Er | PBE | relaxed

Lattice parameters (Å, degrees): 3.732 12.473 6.576 90.00 90.00 90.00
Space group Imm2 (No. 44)
Symmetry-distinct sites (fractional):
Ca 0.000 0.000 0.000 (multiplicity 2)
Ca 0.000 0.245 0.332 (multiplicity 4)
Er 0.000 0.500 0.000 (multiplicity 2)



Least stable of them? a.



a:
CaEu2Er | PBE | relaxed

Lattice parameters (Å, degrees): 3.7545 3.7545 37.5317 90.00 90.00 120.00
Space group R-3m (No. 166, hexagonal axes)
Symmetry-distinct sites (fractional):
Ca 0.0000 0.0000 0.0000 (multiplicity 3)
Eu 0.0000 0.0000 0.2460 (multiplicity 6)
Er 0.0000 0.0000 0.5000 (multiplicity 3)



b:
CaEu2Er | PBE | relaxed

Lattice parameters (Å, degrees): 6.024 6.024 4.173 90.00 90.00 90.00
Space group P4/mmm (No. 123)
Symmetry-distinct sites (fractional):
Ca 0.000 0.000 0.000 (multiplicity 1)
Eu 0.000 0.500 0.500 (multiplicity 2)
Er 0.500 0.500 0.000 (multiplicity 1)



Least stable of them? b.



a:
CaEu2Er | PBE | relaxed

Lattice parameters (Å, degrees): 8.465 8.465 8.465 90.00 90.00 90.00
Space group Fm-3m (No. 225)
Symmetry-distinct sites (fractional):
Ca 0.000 0.000 0.000 (multiplicity 4)
Eu 0.250 0.250 0.250 (multiplicity 8)
Er 0.000 0.000 0.500 (multiplicity 4)



b:
CaEu2Er | PBE | relaxed

Lattice parameters (Å, degrees): 4.127 4.127 9.034 90.00 90.00 90.00
Space group P4/mmm (No. 123)
Symmetry-distinct sites (fractional):
Ca 0.000 0.000 0.000 (multiplicity 1)
Eu 0.500 0.500 0.272 (multiplicity 2)
Er 0.000 0.000 0.500 (multiplicity 1)



Least stable of them? a.



a:
CaEuEr2 | PBE | relaxed

Lattice parameters (Å, degrees): 3.637 3.637 10.529 90.00 90.00 90.00
Space group P4/mmm (No. 123)
Symmetry-distinct sites (fractional):
Ca 0.000 0.000 0.000 (multiplicity 1)
Eu 0.000 0.000 0.500 (multiplicity 1)
Er 0.500 0.500 0.257 (multiplicity 2)



b:
CaEuEr2 | PBE | relaxed

Lattice parameters (Å, degrees): 5.833 5.833 4.075 90.00 90.00 90.00
Space group P4/mmm (No. 123)
Symmetry-distinct sites (fractional):
Ca 0.000 0.000 0.000 (multiplicity 1)
Eu 0.500 0.500 0.000 (multiplicity 1)
Er 0.000 0.500 0.500 (multiplicity 2)



c:
CaEuEr2 | PBE | relaxed

Lattice parameters (Å, degrees): 8.215 8.215 8.215 90.00 90.00 90.00
Space group Fm-3m (No. 225)
Symmetry-distinct sites (fractional):
Ca 0.000 0.000 0.000 (multiplicity 4)
Eu 0.000 0.000 0.500 (multiplicity 4)
Er 0.250 0.250 0.250 (multiplicity 8)



Least stable of them? b.